Computed, not measured: crystalline Tb3AuSe2 at its relaxed geometry at the PBE level of DFT.

Properties
energy above the lowest structure with this stoichiometry = 0 meV/atom
total DFT energy (no corrections) = -525.394 eV per cell
raw formation energy = -839 kJ/mol of formula units
calculated volume = 2414 Å³ per cell

CIF file:
```
data_Tb3AuSe2
_chemical_formula_sum 'Tb48 Au16 Se32'
_cell_length_a 8.3764
_cell_length_b 11.7189
_cell_length_c 24.5882
_cell_angle_alpha 90.00
_cell_angle_beta 90.00
_cell_angle_gamma 90.00
_space_group_name_H-M_alt 'F d d d'
_space_group_IT_number 70
loop_
_space_group_symop_operation_xyz
'x,y,z'
'-x,-y,-z'
'-x+1/4,-y+1/4,z'
'x+1/4,y+1/4,-z'
'x,-y+1/4,-z+1/4'
'-x,y+1/4,z+1/4'
'-x+1/4,y,-z+1/4'
'x+1/4,-y,z+1/4'
'x,y+1/2,z+1/2'
'-x,-y+1/2,-z+1/2'
'-x+1/4,-y+3/4,z+1/2'
'x+1/4,y+3/4,-z+1/2'
'x,-y+3/4,-z+3/4'
'-x,y+3/4,z+3/4'
'-x+1/4,y+1/2,-z+3/4'
'x+1/4,-y+1/2,z+3/4'
'x+1/2,y,z+1/2'
'-x+1/2,-y,-z+1/2'
'-x+3/4,-y+1/4,z+1/2'
'x+3/4,y+1/4,-z+1/2'
'x+1/2,-y+1/4,-z+3/4'
'-x+1/2,y+1/4,z+3/4'
'-x+3/4,y,-z+3/4'
'x+3/4,-y,z+3/4'
'x+1/2,y+1/2,z'
'-x+1/2,-y+1/2,-z'
'-x+3/4,-y+3/4,z'
'x+3/4,y+3/4,-z'
'x+1/2,-y+3/4,-z+1/4'
'-x+1/2,y+3/4,z+1/4'
'-x+3/4,y+1/2,-z+1/4'
'x+3/4,-y+1/2,z+1/4'
loop_
_atom_site_label
_atom_site_type_symbol
_atom_site_fract_x
_atom_site_fract_y
_atom_site_fract_z
_atom_site_occupancy
Tb1 Tb 0.1237 0.3755 0.0422 1
Tb2 Tb 0.1244 0.3750 0.8750 1
Au1 Au 0.1250 0.1250 0.0409 1
Se1 Se 0.1250 0.1250 0.3753 1
Se2 Se 0.1250 0.1250 0.5432 1
```